A relaxed Rb4AuBrF crystal, computed with PBE.

Properties
Final energy: -2.81 eV/atom
Total magnetization: 0.49 μB per formula unit
Crystal system: monoclinic
ρ: 3444 kg/m³

abc: 8.162 8.166 9.645
angles: 90.00 106.92 90.00
Element x y z (fractional)
Rb1 0.020 0.013 0.249
Rb2 0.020 0.487 0.249
Rb3 0.440 0.250 0.130
Rb4 0.445 0.250 0.598
Rb5 0.555 0.750 0.402
Rb6 0.560 0.750 0.870
Rb7 0.980 0.513 0.751
Rb8 0.980 0.987 0.751
Au1 0.234 0.750 0.058
Au2 0.766 0.250 0.942
Br1 0.209 0.750 0.548
Br2 0.791 0.250 0.452
F1 0.258 0.250 0.324
F2 0.742 0.750 0.676